# 1
# VSnH GGA-PBE optimized geometry
data_VSnH
_chemical_formula_sum 'V4 Sn4 H4'
_space_group_name_H-M_alt 'P 1'
_space_group_IT_number 1
_space_group_name_Hall 'P 1'
_cell_length_a 3.0588
_cell_length_b 5.0952
_cell_length_c 10.4834
_cell_angle_alpha 90.00
_cell_angle_beta 90.00
_cell_angle_gamma 90.00
loop_
_atom_site_label
_atom_site_fract_x
_atom_site_fract_y
_atom_site_fract_z
_atom_site_occupancy
H1 0.5000 0.0004 0.1243 1
H2 0.0000 0.9996 0.6243 1
H3 0.5000 0.5004 0.3757 1
H4 0.0000 0.4996 0.8757 1
Sn1 0.5000 0.9993 0.8285 1
Sn2 0.0000 0.5007 0.1715 1
Sn3 0.0000 0.0007 0.3285 1
Sn4 0.5000 0.4993 0.6715 1
V1 0.5000 0.9992 0.5445 1
V2 0.5000 0.4992 0.9555 1
V3 0.0000 0.0008 0.0444 1
V4 0.0000 0.5008 0.4556 1
# **Symmetry**: Pnma (62)
# **Spin magnetization**: 2.8 Bohr magnetons per cell
# **Final energy**: -5.386 eV per atom

***

# 2
# HfZrU2N4 GGA-PBE optimized geometry
data_HfZrU2N4
_chemical_formula_sum 'Hf1 Zr1 U2 N4'
_space_group_name_H-M_alt 'P 1'
_space_group_IT_number 1
_space_group_name_Hall 'P 1'
_cell_length_a 3.2969
_cell_length_b 5.7147
_cell_length_c 5.8979
_cell_angle_alpha 108.79
_cell_angle_beta 90.00
_cell_angle_gamma 90.00
loop_
_atom_site_label
_atom_site_fract_x
_atom_site_fract_y
_atom_site_fract_z
_atom_site_occupancy
Hf1 0.0000 0.0000 0.0000 1
N1 0.5000 0.7631 0.7714 1
N2 0.0000 0.7501 0.2325 1
N3 0.0000 0.2499 0.7675 1
N4 0.5000 0.2369 0.2286 1
U1 0.5000 0.0000 0.5000 1
U2 0.0000 0.5000 0.5000 1
Zr1 0.5000 0.5000 0.0000 1
# **ΔE_f (raw)**: -12.45 eV/f.u.
# **Symmetry**: P2/m (10)
# **Spin magnetization**: 3.0 Bohr magnetons per cell
# **Final energy**: -10.853 eV per atom

***

# 3
# La5Tb3Pr2 GGA-PBE optimized geometry
data_La5Tb3Pr2
_chemical_formula_sum 'La10 Tb6 Pr4'
_space_group_name_H-M_alt 'P 1'
_space_group_IT_number 1
_space_group_name_Hall 'P 1'
_cell_length_a 10.2445
_cell_length_b 10.2323
_cell_length_c 11.3910
_cell_angle_alpha 129.17
_cell_angle_beta 129.20
_cell_angle_gamma 66.06
loop_
_atom_site_label
_atom_site_fract_x
_atom_site_fract_y
_atom_site_fract_z
_atom_site_occupancy
Pr1 0.5288 0.2766 0.2440 1
Pr2 0.7848 0.0325 0.7560 1
Pr3 0.2152 0.9675 0.2440 1
Pr4 0.4712 0.7234 0.7560 1
Tb1 0.7252 0.4687 0.2483 1
Tb2 0.7686 0.0186 0.0372 1
Tb3 0.0232 0.7797 0.2483 1
Tb4 0.2314 0.9814 0.9628 1
Tb5 0.9768 0.2203 0.7517 1
Tb6 0.2748 0.5313 0.7517 1
La1 0.6225 0.8686 0.2416 1
La2 0.5172 0.2672 0.5344 1
La3 0.2764 0.5264 0.0529 1
La4 0.3775 0.1314 0.7584 1
La5 0.1191 0.3730 0.2416 1
La6 0.0248 0.7748 0.5496 1
La7 0.9752 0.2252 0.4504 1
La8 0.4828 0.7328 0.4656 1
La9 0.7236 0.4736 0.9471 1
La10 0.8809 0.6270 0.7584 1
# **Symmetry**: C2/c (15)
# **Formation energy**: 1.5 eV per formula unit
# **Spin magnetization**: 0.0 Bohr magnetons per cell
# **Final energy**: -4.654 eV per atom

***

# 4
# LiTc3Sn GGA-PBE optimized geometry
data_LiTc3Sn
_chemical_formula_sum 'Li1 Tc3 Sn1'
_space_group_name_H-M_alt 'P 1'
_space_group_IT_number 1
_space_group_name_Hall 'P 1'
_cell_length_a 4.2338
_cell_length_b 4.2338
_cell_length_c 4.2338
_cell_angle_alpha 90.00
_cell_angle_beta 90.00
_cell_angle_gamma 90.00
loop_
_atom_site_label
_atom_site_fract_x
_atom_site_fract_y
_atom_site_fract_z
_atom_site_occupancy
Sn1 0.5000 0.5000 0.5000 1
Tc1 0.5000 0.0000 0.0000 1
Tc2 0.0000 0.0000 0.5000 1
Tc3 0.0000 0.5000 0.0000 1
Li1 0.0000 0.0000 0.0000 1
# **Symmetry**: Pm-3m (221)
# **Formation energy**: 5.2 eV per formula unit
# **Spin magnetization**: 0.6 Bohr magnetons per cell
# **Final energy**: -6.359 eV per atom

***

# 5
# SiAu2N GGA-PBE optimized geometry
data_SiAu2N
_chemical_formula_sum 'Si1 Au2 N1'
_space_group_name_H-M_alt 'P 1'
_space_group_IT_number 1
_space_group_name_Hall 'P 1'
_cell_length_a 4.3513
_cell_length_b 4.3513
_cell_length_c 4.3513
_cell_angle_alpha 60.00
_cell_angle_beta 60.00
_cell_angle_gamma 60.00
loop_
_atom_site_label
_atom_site_fract_x
_atom_site_fract_y
_atom_site_fract_z
_atom_site_occupancy
Si1 0.5000 0.5000 0.5000 1
Au1 0.7500 0.7500 0.7500 1
Au2 0.2500 0.2500 0.2500 1
N1 0.0000 0.0000 0.0000 1
# **ΔE_f (raw)**: 4.18 eV/f.u.
# **Symmetry**: Fm-3m (225)
# **Spin magnetization**: 0.0 Bohr magnetons per cell
# **Final energy**: -4.032 eV per atom

***

# 6
# Pr4AlAg3 GGA-PBE optimized geometry
data_Pr4AlAg3
_chemical_formula_sum 'Pr4 Al1 Ag3'
_space_group_name_H-M_alt 'P 1'
_space_group_IT_number 1
_space_group_name_Hall 'P 1'
_cell_length_a 3.8076
_cell_length_b 4.8309
_cell_length_c 11.9768
_cell_angle_alpha 90.00
_cell_angle_beta 90.00
_cell_angle_gamma 90.00
loop_
_atom_site_label
_atom_site_fract_x
_atom_site_fract_y
_atom_site_fract_z
_atom_site_occupancy
Pr1 0.0000 0.5000 0.8496 1
Pr2 0.0000 0.0000 0.1514 1
Pr3 0.5000 0.5000 0.3498 1
Pr4 0.5000 0.0000 0.6470 1
Ag1 0.0000 0.0000 0.4279 1
Ag2 0.5000 0.0000 0.9316 1
Ag3 0.0000 0.5000 0.5715 1
Al1 0.5000 0.5000 0.0712 1
# **Symmetry**: Pmm2 (25)
# **Formation energy**: -1.9 eV per formula unit
# **Spin magnetization**: 0.0 Bohr magnetons per cell
# **Final energy**: -4.170 eV per atom

***

# 7
# Ti2FeBr GGA-PBE optimized geometry
data_Ti2FeBr
_chemical_formula_sum 'Ti2 Fe1 Br1'
_space_group_name_H-M_alt 'P 1'
_space_group_IT_number 1
_space_group_name_Hall 'P 1'
_cell_length_a 4.4284
_cell_length_b 4.4284
_cell_length_c 4.4284
_cell_angle_alpha 60.00
_cell_angle_beta 60.00
_cell_angle_gamma 60.00
loop_
_atom_site_label
_atom_site_fract_x
_atom_site_fract_y
_atom_site_fract_z
_atom_site_occupancy
Ti1 0.7500 0.7500 0.7500 1
Ti2 0.2500 0.2500 0.2500 1
Fe1 0.0000 0.0000 0.0000 1
Br1 0.5000 0.5000 0.5000 1
# **ΔE_f (raw)**: 1.37 eV/f.u.
# **Symmetry**: Fm-3m (225)
# **Spin magnetization**: 0.0 Bohr magnetons per cell
# **Final energy**: -6.139 eV per atom

***

# 8
# AlPSe GGA-PBE optimized geometry
data_AlPSe
_chemical_formula_sum 'Al2 P2 Se2'
_space_group_name_H-M_alt 'P 1'
_space_group_IT_number 1
_space_group_name_Hall 'P 1'
_cell_length_a 3.8622
_cell_length_b 5.2364
_cell_length_c 6.7891
_cell_angle_alpha 96.70
_cell_angle_beta 91.01
_cell_angle_gamma 92.31
loop_
_atom_site_label
_atom_site_fract_x
_atom_site_fract_y
_atom_site_fract_z
_atom_site_occupancy
Al1 0.2006 0.8674 0.8524 1
Al2 0.6430 0.7042 0.2900 1
Se1 0.4965 0.1314 0.2015 1
Se2 0.1417 0.6439 0.4999 1
P1 0.6971 0.5998 0.9452 1
P2 0.7102 0.1701 0.8861 1
# **ΔE_f (raw)**: -1.19 eV/f.u.
# **Symmetry**: P1 (1)
# **Spin magnetization**: 0.0 Bohr magnetons per cell
# **Final energy**: -4.609 eV per atom